This record from Alexandria describes a relaxed structure of UCrNiO6. The functional is PBE+U.

extended XYZ file:
```
18
Lattice="5.271 0.000 0.000 -2.636 4.565 0.000 0.000 0.000 8.796" Properties=species:S:1:pos:R:3 pbc="T T T"
U 0.000 3.043 2.199
U 2.636 1.522 6.597
Cr 0.000 3.043 6.597
Cr 2.636 1.522 2.199
Ni 0.000 0.000 0.000
Ni 0.000 0.000 4.398
O -0.844 1.595 5.546
O -1.676 3.037 7.648
O 0.844 1.595 7.648
O -0.832 4.498 5.546
O 1.803 0.067 1.148
O 0.959 1.528 3.250
O 1.676 3.037 5.546
O 0.832 4.498 7.648
O 3.468 0.067 3.250
O 1.792 2.970 1.148
O 4.312 1.528 1.148
O 3.479 2.970 3.250
```

Results
Magnetization, μB per cell: 8.00
Volume, Å³/cell: 211.6
Calculated total energy, eV/atom: -7.71